CaMgCu | meta-GGA SCAN | single point on PBEsol structure Values from VASP.

Calculated values
Energy relative to the elements (kJ/mol of atoms): -11.2
Space-group type: I4/mmm, No. 139
VASP energy (eV per atom): -10.06

Geometry as Quantum ESPRESSO input:
```
&SYSTEM
  ibrav = 0, nat = 12, ntyp = 3
/
ATOMIC_SPECIES
Ca 40.08 Ca.upf
Mg 24.30 Mg.upf
Cu 63.55 Cu.upf
CELL_PARAMETERS angstrom
4.2164 0.0000 0.0000
0.0000 4.2164 0.0000
0.0000 0.0000 15.0433
ATOMIC_POSITIONS angstrom
Ca 0.0000 0.0000 2.6569
Ca 0.0000 0.0000 12.3864
Ca 2.1082 2.1082 4.8648
Ca 2.1082 2.1082 10.1785
Mg 0.0000 2.1082 0.0000
Mg 0.0000 2.1082 7.5217
Mg 2.1082 0.0000 0.0000
Mg 2.1082 0.0000 7.5217
Cu 0.0000 0.0000 5.7732
Cu 0.0000 0.0000 9.2701
Cu 2.1082 2.1082 1.7484
Cu 2.1082 2.1082 13.2949
```